# Nb2TcWN

A relaxed Nb2TcWN crystal (GGA-PBE, Alexandria via LeMat-Bulk).

Cell and atoms, written as POSCAR:
```
Nb2TcWN
1.0
5.0187 0.0000 0.0000
0.0000 5.0187 0.0000
0.0000 0.0000 3.7748
Nb Tc W N
2 1 1 1
Direct
0.0000 0.5000 0.0000
0.5000 0.0000 0.0000
0.0000 0.0000 0.5000
0.5000 0.5000 0.0000
0.5000 0.5000 0.5000
```

uncorrected formation energy: 33.3 kcal/mol of atoms
energy relative to the lowest polymorph listed for this composition: 1.6757 eV/atom

***

# Re2MoAu

A relaxed Re2MoAu crystal (GGA-PBE, Alexandria via LeMat-Bulk).

Cell and atoms, written as POSCAR:
```
Re2MoAu
1.0
1.3991 0.8078 9.3713
-1.3991 0.8078 9.3713
0.0000 -1.6156 9.3713
Re Mo Au
2 1 1
Direct
0.0000 0.0000 0.0000
0.2570 0.2570 0.2570
0.7495 0.7495 0.7495
0.5027 0.5027 0.5027
```

energy relative to the lowest polymorph listed for this composition: 0.0005 eV/atom
energy relative to the elements: 0.21 eV/atom

***

# BaHf2Ge

A relaxed BaHf2Ge crystal (GGA-PBE, Alexandria via LeMat-Bulk).

Cell and atoms, written as POSCAR:
```
BaHf2Ge
1.0
-2.6190 2.6190 9.8503
2.6190 -2.6190 9.8503
2.6190 2.6190 -9.8503
Ba Hf Ge
2 4 2
Direct
0.0000 0.0000 0.0000
0.7500 0.2500 0.5000
0.3484 0.6250 0.2234
0.3750 0.5984 0.7234
0.4016 0.1250 0.7766
0.8750 0.6516 0.2766
0.2500 0.7500 0.5000
0.5000 0.5000 0.0000
```

energy relative to the elements: 0.50 eV/atom

***

# Cu4SiAu

A relaxed Cu4SiAu crystal (GGA-PBE, Alexandria via LeMat-Bulk).

Cell and atoms, written as POSCAR:
```
Cu4SiAu
1.0
7.1333 0.0000 0.0000
0.0000 5.4084 0.0000
-0.4730 0.0000 8.3915
Cu Si Au
16 4 4
Direct
0.0444 0.0846 0.1348
0.0444 0.4154 0.6348
0.2825 0.7443 0.8588
0.2825 0.7557 0.3588
0.3928 0.5205 0.6163
0.3928 0.9795 0.1163
0.4078 0.0040 0.6241
0.4078 0.4960 0.1241
0.5922 0.5040 0.8759
0.5922 0.9960 0.3759
0.6072 0.0205 0.8837
0.6072 0.4795 0.3837
0.7175 0.2443 0.6412
0.7175 0.2557 0.1412
0.9556 0.5846 0.3652
0.9556 0.9154 0.8652
0.0941 0.6426 0.0950
0.0941 0.8574 0.5950
0.9059 0.1426 0.4050
0.9059 0.3574 0.9050
0.2634 0.2437 0.8686
0.2634 0.2563 0.3686
0.7366 0.7437 0.6314
0.7366 0.7563 0.1314
```

uncorrected formation energy: 0.7 kcal/mol of atoms
energy relative to the lowest polymorph listed for this composition: 0.0379 eV/atom

***

# Pm8Nd6Tm

A relaxed Pm8Nd6Tm crystal (GGA-PBE, Alexandria via LeMat-Bulk).

Cell and atoms, written as POSCAR:
```
Pm8Nd6Tm
1.0
9.5423 0.0000 0.0000
-4.7711 8.2639 0.0000
0.0000 0.0000 6.6831
Pm Nd Tm
8 6 1
Direct
0.0299 0.7506 0.1655
0.2494 0.2794 0.1655
0.2794 0.0299 0.8345
0.3333 0.6667 0.1140
0.6667 0.3333 0.8860
0.7206 0.9701 0.1655
0.7506 0.7206 0.8345
0.9701 0.2494 0.8345
0.0850 0.6522 0.6614
0.3478 0.4328 0.6614
0.4328 0.0850 0.3386
0.5672 0.9150 0.6614
0.6522 0.5672 0.3386
0.9150 0.3478 0.3386
0.0000 0.0000 0.5000
```

energy relative to the lowest polymorph listed for this composition: 0.0496 eV/atom
energy relative to the elements: 0.16 eV/atom

***

# CsP2I

A relaxed CsP2I crystal (GGA-PBE, Alexandria via LeMat-Bulk).

Cell and atoms, written as POSCAR:
```
CsP2I
1.0
0.0000 3.8680 3.8680
3.8680 0.0000 3.8680
3.8680 3.8680 0.0000
Cs P I
1 2 1
Direct
0.0000 0.0000 0.0000
0.2500 0.2500 0.2500
0.7500 0.7500 0.7500
0.5000 0.5000 0.5000
```

uncorrected formation energy: 22.0 kcal/mol of atoms

***

# TiW2N

A relaxed TiW2N crystal (GGA-PBE, Alexandria via LeMat-Bulk).

Cell and atoms, written as POSCAR:
```
TiW2N
1.0
-3.5585 3.5585 2.2113
3.5585 -3.5585 2.2113
3.5585 3.5585 -2.2113
Ti W N
2 4 2
Direct
0.0000 0.0000 0.0000
0.7500 0.2500 0.5000
0.2410 0.6250 0.1160
0.3750 0.4910 0.6160
0.5090 0.1250 0.8840
0.8750 0.7590 0.3840
0.2500 0.7500 0.5000
0.5000 0.5000 0.0000
```

uncorrected formation energy: -3.1 kcal/mol of atoms

***

# AcMg2Zn6

A relaxed AcMg2Zn6 crystal (GGA-PBE, Alexandria via LeMat-Bulk).

Cell and atoms, written as POSCAR:
```
AcMg2Zn6
1.0
7.7985 0.0000 0.0000
-3.8992 6.7537 0.0000
0.0000 0.0000 3.6234
Ac Mg Zn
1 2 6
Direct
0.0000 0.0000 0.0000
0.3333 0.6667 0.0000
0.6667 0.3333 0.0000
0.0000 0.3431 0.5000
0.0000 0.6569 0.5000
0.3431 0.0000 0.5000
0.3431 0.3431 0.5000
0.6569 0.0000 0.5000
0.6569 0.6569 0.5000
```

energy relative to the lowest polymorph listed for this composition: 0.0772 eV/atom
energy relative to the elements: -0.06 eV/atom

***

| no. | magnetization (μB per formula unit) |
| --- | --- |
| 1 | 1.0 |
| 2 | 0.0 |
| 3 | 0.0 |
| 4 | 0.0 |
| 5 | 0.0 |
| 6 | 0.0 |
| 7 | 0.0 |
| 8 | 0.0 |